No. 1
{"formula": "Rb2Ag3Hg", "functional": "PBE", "state": "optimized geometry", "space_group": "No. 51", "ef_mev_per_atom": -5, "lattice": [[5.8991, 0.0000, 0.0000], [0.0000, 7.0604, 0.0000], [0.0000, 0.0000, 9.1786]], "species": ["Rb", "Ag", "Rb", "Ag", "Ag", "Ag", "Hg", "Rb", "Hg", "Ag", "Ag", "Rb"], "fractional_positions": [[0.2500, 0.0000, 0.3769], [0.2500, 0.2036, 0.7884], [0.7500, 0.0000, 0.6231], [0.7500, 0.7964, 0.2116], [0.5000, 0.0000, 0.0000], [0.0000, 0.0000, 0.0000], [0.7500, 0.5000, 0.4229], [0.7500, 0.5000, 0.8505], [0.2500, 0.5000, 0.5771], [0.7500, 0.2036, 0.2116], [0.2500, 0.7964, 0.7884], [0.2500, 0.5000, 0.1495]]}



No. 2
{"formula": "RbAgHg2Rh", "functional": "PBE", "state": "optimized geometry", "space_group": "No. 123", "ef_mev_per_atom": 35, "lattice": [[-5.1983, 0.6544, -0.7384], [-0.3088, -4.8398, -2.1158], [-0.9468, -2.0566, 4.8426]], "species": ["Hg", "Rb", "Hg", "Rh", "Ag"], "fractional_positions": [[0.5000, 0.0000, 0.0000], [0.5000, 0.5000, 0.5000], [0.0000, 0.5000, 0.0000], [0.0000, 0.0000, 0.0000], [0.0000, 0.0000, 0.5000]]}



No. 3
{"formula": "RbAgHgS2", "functional": "PBE", "state": "optimized geometry", "raw_formation_energy_mev_per_atom": -469, "space_group": "No. 12", "lattice": [[4.2479, 0.0000, 0.0000], [-2.1239, 8.1353, -0.3159], [0.0000, -2.5298, 8.8156]], "species": ["Rb", "Rb", "S", "Ag", "Hg", "Ag", "S", "S", "S", "Hg"], "fractional_positions": [[0.7099, 0.4197, 0.7143], [0.2901, 0.5803, 0.2857], [0.1197, 0.2393, 0.8977], [0.3909, 0.7819, 0.9586], [0.0362, 0.0724, 0.2476], [0.6091, 0.2181, 0.0414], [0.3712, 0.7424, 0.6702], [0.8803, 0.7607, 0.1023], [0.6288, 0.2576, 0.3298], [0.9638, 0.9276, 0.7524]]}



No. 4
{"formula": "Rb2AgHgSb", "functional": "PBE", "state": "optimized geometry", "raw_formation_energy_mev_per_atom": -139, "e_above_lowest_polymorph_mev_per_atom": 0, "space_group": "No. 123", "lattice": [[6.7710, 0.0000, 0.0000], [0.0000, 6.7710, 0.0000], [0.0000, 0.0000, 5.1309]], "species": ["Rb", "Rb", "Sb", "Hg", "Ag"], "fractional_positions": [[0.0000, 0.5000, 0.0000], [0.5000, 0.0000, 0.0000], [0.0000, 0.0000, 0.5000], [0.5000, 0.5000, 0.5000], [0.0000, 0.0000, 0.0000]]}



No. 5
{"formula": "Rb2AgHg2Se4", "functional": "PBE", "state": "optimized geometry", "raw_formation_energy_mev_per_atom": -517, "space_group": "No. 12", "lattice": [[4.2161, 0.0000, 0.0000], [0.0000, 7.5477, 0.0761], [-2.1080, -2.8438, 8.6902]], "species": ["Se", "Rb", "Se", "Se", "Se", "Hg", "Hg", "Ag", "Rb"], "fractional_positions": [[0.5204, 0.7907, 0.0408], [0.8762, 0.4646, 0.7525], [0.2279, 0.2187, 0.4558], [0.4796, 0.2093, 0.9592], [0.7721, 0.7813, 0.5442], [0.3340, 0.9930, 0.6681], [0.6660, 0.0070, 0.3319], [0.0000, 0.0000, 0.0000], [0.1238, 0.5354, 0.2475]]}



No. 6
{"formula": "RbSiAgHg2", "functional": "PBE", "state": "optimized geometry", "raw_formation_energy_mev_per_atom": 63, "space_group": "No. 123", "lattice": [[5.4692, 0.0000, 0.0000], [0.0000, 5.4692, 0.0000], [0.0000, 0.0000, 4.9641]], "species": ["Rb", "Hg", "Hg", "Ag", "Si"], "fractional_positions": [[0.5000, 0.5000, 0.5000], [0.0000, 0.5000, 0.0000], [0.5000, 0.0000, 0.0000], [0.0000, 0.0000, 0.5000], [0.0000, 0.0000, 0.0000]]}



No. 7
{"formula": "RbSiAg2Hg", "functional": "PBE", "state": "optimized geometry", "raw_formation_energy_mev_per_atom": 62, "space_group": "No. 123", "lattice": [[5.0381, 0.0000, 0.0000], [0.0000, 5.0381, 0.0000], [0.0000, 0.0000, 5.3337]], "species": ["Ag", "Si", "Ag", "Hg", "Rb"], "fractional_positions": [[0.5000, 0.0000, 0.0000], [0.0000, 0.0000, 0.0000], [0.0000, 0.5000, 0.0000], [0.0000, 0.0000, 0.5000], [0.5000, 0.5000, 0.5000]]}



No. 8
{"formula": "RbAg2SnHg", "functional": "PBE", "state": "optimized geometry", "e_above_lowest_polymorph_mev_per_atom": 480, "space_group": "No. 123", "ef_mev_per_atom": 509, "lattice": [[5.3798, 0.0000, 0.0000], [0.0000, 6.1212, 0.0000], [0.0000, 0.0000, 5.3798]], "species": ["Rb", "Hg", "Ag", "Ag", "Sn"], "fractional_positions": [[0.0000, 0.5000, 0.0000], [0.0000, 0.0000, 0.0000], [0.5000, 0.0000, 0.0000], [0.0000, 0.0000, 0.5000], [0.5000, 0.5000, 0.5000]]}



No. 9
{"formula": "RbAg2SnHg", "functional": "PBE", "state": "optimized geometry", "e_above_lowest_polymorph_mev_per_atom": 0, "space_group": "No. 123", "ef_mev_per_atom": 28, "lattice": [[-2.0439, -4.2517, -2.6149], [-0.0772, -2.7983, 4.6103], [-5.3349, 1.9076, 1.0685]], "species": ["Rb", "Hg", "Sn", "Ag", "Ag"], "fractional_positions": [[0.5000, 0.5000, 0.5000], [0.0000, 0.0000, 0.5000], [0.0000, 0.0000, 0.0000], [0.5000, 0.0000, 0.0000], [0.0000, 0.5000, 0.0000]]}



No. 10
{"formula": "RbSrAgHg2", "functional": "PBE", "state": "optimized geometry", "space_group": "No. 123", "ef_mev_per_atom": -36, "lattice": [[-0.9878, 2.2217, -5.1057], [-3.2822, -4.4211, -1.2888], [-4.6135, 2.8086, 2.1147]], "species": ["Sr", "Hg", "Rb", "Hg", "Ag"], "fractional_positions": [[0.0000, 0.0000, 0.5000], [0.5000, 0.0000, 0.0000], [0.5000, 0.5000, 0.5000], [0.0000, 0.5000, 0.0000], [0.0000, 0.0000, 0.0000]]}



No. 11
{"formula": "RbTa2AgHg", "functional": "PBE", "state": "optimized geometry", "space_group": "No. 123", "ef_mev_per_atom": 2929, "lattice": [[4.9142, 0.0000, 0.0000], [0.0000, 5.5900, 0.0000], [0.0000, 0.0000, 4.9142]], "species": ["Ta", "Ag", "Hg", "Ta", "Rb"], "fractional_positions": [[0.5000, 0.0000, 0.0000], [0.5000, 0.5000, 0.5000], [0.0000, 0.5000, 0.0000], [0.0000, 0.0000, 0.5000], [0.0000, 0.0000, 0.0000]]}



No. 12
{"formula": "RbAgHg2Te", "functional": "PBE", "state": "optimized geometry", "raw_formation_energy_mev_per_atom": -273, "space_group": "No. 123", "lattice": [[5.6245, 0.0000, 0.0000], [0.0000, 5.6245, 0.0000], [0.0000, 0.0000, 5.6874]], "species": ["Hg", "Hg", "Rb", "Ag", "Te"], "fractional_positions": [[0.5000, 0.0000, 0.0000], [0.0000, 0.5000, 0.0000], [0.5000, 0.5000, 0.5000], [0.0000, 0.0000, 0.0000], [0.0000, 0.0000, 0.5000]]}



No. 13
{"formula": "RbAgHgTe", "functional": "PBE", "state": "optimized geometry", "raw_formation_energy_mev_per_atom": -428, "space_group": "No. 129", "lattice": [[4.7905, 0.0000, 0.0000], [0.0000, 4.7905, 0.0000], [0.0000, 0.0000, 12.0982]], "species": ["Rb", "Hg", "Ag", "Rb", "Hg", "Te", "Te", "Ag"], "fractional_positions": [[0.2500, 0.2500, 0.7566], [0.7500, 0.2500, 0.5000], [0.2500, 0.7500, 0.0000], [0.7500, 0.7500, 0.2434], [0.2500, 0.7500, 0.5000], [0.7500, 0.7500, 0.8606], [0.2500, 0.2500, 0.1394], [0.7500, 0.2500, 0.0000]]}



No. 14
{"formula": "RbTlAgHg2", "functional": "PBE", "state": "optimized geometry", "e_above_lowest_polymorph_mev_per_atom": 0, "space_group": "No. 123", "ef_mev_per_atom": -10, "lattice": [[-1.1868, 5.4335, -0.4098], [-1.6785, 0.0345, 5.3180], [5.2460, 1.2702, 1.6476]], "species": ["Rb", "Ag", "Hg", "Tl", "Hg"], "fractional_positions": [[0.5000, 0.5000, 0.5000], [0.0000, 0.0000, 0.0000], [0.0000, 0.5000, 0.0000], [0.0000, 0.0000, 0.5000], [0.5000, 0.0000, 0.0000]]}



No. 15
{"formula": "RbTlAgHg2", "functional": "PBE", "state": "optimized geometry", "e_above_lowest_polymorph_mev_per_atom": 50, "space_group": "No. 123", "ef_mev_per_atom": 40, "lattice": [[5.8660, 0.0000, 0.0000], [0.0000, 5.8660, 0.0000], [0.0000, 0.0000, 5.5294]], "species": ["Ag", "Hg", "Rb", "Hg", "Tl"], "fractional_positions": [[0.0000, 0.0000, 0.5000], [0.0000, 0.5000, 0.0000], [0.5000, 0.5000, 0.5000], [0.5000, 0.0000, 0.0000], [0.0000, 0.0000, 0.0000]]}



No. 16
{"formula": "Rb2TlAgHg6", "functional": "PBE", "state": "optimized geometry", "space_group": "No. 59", "ef_mev_per_atom": -107, "lattice": [[-6.7666, -1.1118, 4.6776], [1.4463, -8.2131, 0.1401], [5.6082, 1.1305, 8.3815]], "species": ["Hg", "Rb", "Hg", "Hg", "Tl", "Rb", "Ag", "Hg", "Hg", "Hg", "Tl", "Rb", "Hg", "Hg", "Rb", "Hg", "Ag", "Hg", "Hg", "Hg"], "fractional_positions": [[0.3181, 0.0293, 0.0000], [0.5000, 0.7378, 0.2718], [0.0000, 0.7884, 0.2583], [0.8124, 0.6095, 0.0000], [0.0000, 0.5781, 0.5000], [0.5000, 0.7378, 0.7282], [0.5000, 0.0821, 0.5000], [0.6819, 0.0293, 0.0000], [0.5000, 0.2116, 0.7583], [0.6876, 0.3905, 0.5000], [0.5000, 0.4219, 0.0000], [0.0000, 0.2622, 0.7718], [0.8181, 0.9707, 0.5000], [0.1876, 0.6095, 0.0000], [0.0000, 0.2622, 0.2282], [0.5000, 0.2116, 0.2417], [0.0000, 0.9179, 0.0000], [0.0000, 0.7884, 0.7417], [0.3124, 0.3905, 0.5000], [0.1819, 0.9707, 0.5000]]}



No. 17
{"formula": "RbVAgHg2", "functional": "PBE", "state": "optimized geometry", "space_group": "No. 123", "ef_mev_per_atom": 346, "lattice": [[-3.1191, 4.1285, 1.7904], [1.1081, -1.3689, 5.0870], [4.3565, 3.3160, -0.0567]], "species": ["Rb", "V", "Ag", "Hg", "Hg"], "fractional_positions": [[0.5000, 0.5000, 0.5000], [0.0000, 0.0000, 0.0000], [0.0000, 0.5000, 0.0000], [0.5000, 0.0000, 0.0000], [0.0000, 0.0000, 0.5000]]}



No. 18
{"formula": "RbYAgHg2", "functional": "PBE", "state": "optimized geometry", "space_group": "No. 123", "ef_mev_per_atom": 1030, "lattice": [[-3.2864, -0.4044, 5.1895], [0.0569, -7.0315, -0.5118], [5.2050, -0.1967, 3.2809]], "species": ["Y", "Ag", "Rb", "Hg", "Hg"], "fractional_positions": [[0.0000, 0.5000, 0.0000], [0.5000, 0.5000, 0.5000], [0.0000, 0.0000, 0.0000], [0.5000, 0.0000, 0.0000], [0.0000, 0.0000, 0.5000]]}



No. 19
{"formula": "RbZnAgHg2", "functional": "PBE", "state": "optimized geometry", "e_above_lowest_polymorph_mev_per_atom": 16, "space_group": "No. 123", "ef_mev_per_atom": -3, "lattice": [[-2.8997, 4.6474, -1.0950], [-3.8794, -3.0400, -2.6293], [-2.5471, -0.5531, 4.3977]], "species": ["Zn", "Hg", "Ag", "Hg", "Rb"], "fractional_positions": [[0.0000, 0.0000, 0.5000], [0.0000, 0.5000, 0.0000], [0.0000, 0.0000, 0.0000], [0.5000, 0.0000, 0.0000], [0.5000, 0.5000, 0.5000]]}



No. 20
{"formula": "RbZnAgHg2", "functional": "PBE", "state": "optimized geometry", "e_above_lowest_polymorph_mev_per_atom": 0, "space_group": "No. 123", "ef_mev_per_atom": -18, "lattice": [[5.4930, 0.0000, 0.0000], [0.0000, 5.4930, 0.0000], [0.0000, 0.0000, 5.1812]], "species": ["Zn", "Hg", "Ag", "Hg", "Rb"], "fractional_positions": [[0.0000, 0.0000, 0.0000], [0.5000, 0.0000, 0.0000], [0.0000, 0.0000, 0.5000], [0.0000, 0.5000, 0.0000], [0.5000, 0.5000, 0.5000]]}



No. 21
{"formula": "RbZnAg2Hg", "functional": "PBE", "state": "optimized geometry", "space_group": "No. 123", "ef_mev_per_atom": 80, "lattice": [[-5.0413, 0.9328, -0.8913], [-1.2443, -2.5656, 4.3530], [0.3464, 4.5013, 2.7520]], "species": ["Ag", "Zn", "Hg", "Ag", "Rb"], "fractional_positions": [[0.5000, 0.0000, 0.0000], [0.0000, 0.0000, 0.0000], [0.0000, 0.0000, 0.5000], [0.0000, 0.5000, 0.0000], [0.5000, 0.5000, 0.5000]]}



No. 22
{"formula": "ReAg3Hg", "functional": "PBE", "state": "optimized geometry", "e_above_lowest_polymorph_mev_per_atom": 0, "space_group": "No. 221", "ef_mev_per_atom": 1524, "lattice": [[-4.1202, 2.5323, 1.8432], [-3.0510, -2.5566, -3.3077], [-0.7079, -3.7198, 3.5281]], "species": ["Hg", "Ag", "Ag", "Ag", "Re"], "fractional_positions": [[0.5000, 0.5000, 0.5000], [0.0000, 0.0000, 0.5000], [0.5000, 0.0000, 0.0000], [0.0000, 0.5000, 0.0000], [0.0000, 0.0000, 0.0000]]}



No. 23
{"formula": "Re3AgHg", "functional": "PBE", "state": "optimized geometry", "e_above_lowest_polymorph_mev_per_atom": 0, "space_group": "No. 221", "ef_mev_per_atom": 3063, "lattice": [[4.7854, 0.0000, 0.0000], [0.0000, 4.7854, 0.0000], [0.0000, 0.0000, 4.7854]], "species": ["Re", "Ag", "Re", "Re", "Hg"], "fractional_positions": [[0.0000, 0.0000, 0.5000], [0.0000, 0.0000, 0.0000], [0.0000, 0.5000, 0.0000], [0.5000, 0.0000, 0.0000], [0.5000, 0.5000, 0.5000]]}



No. 24
{"formula": "Re3AgHg", "functional": "PBE", "state": "optimized geometry", "e_above_lowest_polymorph_mev_per_atom": 288, "space_group": "No. 221", "ef_mev_per_atom": 3351, "lattice": [[-1.0588, 1.2171, -4.6354], [-4.4771, -1.9448, 0.5120], [-1.7098, 4.3388, 1.5298]], "species": ["Hg", "Re", "Re", "Ag", "Re"], "fractional_positions": [[0.0000, 0.0000, 0.0000], [0.0000, 0.0000, 0.5000], [0.5000, 0.0000, 0.0000], [0.5000, 0.5000, 0.5000], [0.0000, 0.5000, 0.0000]]}



No. 25
{"formula": "ReAg2Hg2", "functional": "PBE", "state": "optimized geometry", "space_group": "No. 139", "ef_mev_per_atom": 978, "lattice": [[-1.8576, 1.8576, 7.4988], [1.8576, -1.8576, 7.4988], [1.8576, 1.8576, -7.4988]], "species": ["Hg", "Ag", "Ag", "Re", "Hg"], "fractional_positions": [[0.4024, 0.4024, 0.0000], [0.2500, 0.7500, 0.5000], [0.7500, 0.2500, 0.5000], [0.0000, 0.0000, 0.0000], [0.5976, 0.5976, 0.0000]]}



No. 26
{"formula": "ReTc2AgHg", "functional": "PBE", "state": "optimized geometry", "space_group": "No. 123", "ef_mev_per_atom": 1530, "lattice": [[4.7044, 0.0000, 0.0000], [0.0000, 5.2663, 0.0000], [0.0000, 0.0000, 4.7044]], "species": ["Tc", "Ag", "Tc", "Re", "Hg"], "fractional_positions": [[0.5000, 0.0000, 0.0000], [0.5000, 0.5000, 0.5000], [0.0000, 0.0000, 0.5000], [0.0000, 0.0000, 0.0000], [0.0000, 0.5000, 0.0000]]}



No. 27
{"formula": "ReTcAg2Hg", "functional": "PBE", "state": "optimized geometry", "space_group": "No. 123", "ef_mev_per_atom": 2293, "lattice": [[5.0201, 0.0000, 0.0000], [0.0000, 5.1049, 0.0000], [0.0000, 0.0000, 5.0201]], "species": ["Ag", "Hg", "Re", "Tc", "Ag"], "fractional_positions": [[0.0000, 0.0000, 0.5000], [0.0000, 0.0000, 0.0000], [0.5000, 0.5000, 0.5000], [0.0000, 0.5000, 0.0000], [0.5000, 0.0000, 0.0000]]}